# Ta2SiRu

Ta2SiRu at its PBEsol-relaxed geometry (meta-GGA SCAN, Alexandria).

Summary:
- Calculated volume: 14.9 Å³ per atom
- Uncorrected formation energy: -0.3788 eV/atom
- Crystal system: orthorhombic
- Space group: No. 71
- Spin magnetization: 0.000 μB/atom

Geometry as POSCAR:
```
Ta2SiRu
1.0
-0.6482 2.3942 -2.0158
0.8045 -2.5849 -3.3289
-4.2681 -1.1061 2.5926
Ru Ta Si
1 2 1
direct
0.5000 0.0000 0.0000 Ru
0.7512 0.7512 0.5024 Ta
0.2488 0.2488 0.4976 Ta
0.0000 0.5000 0.0000 Si
```